Entry from the Alexandria database: a relaxed Tl2AgPd2 crystal (GGA-PBE).

Cell and atoms, written as CIF:
```
data_Tl2AgPd2
_symmetry_space_group_name_H-M 'I 4/m m m'
_symmetry_Int_Tables_number 139
_symmetry_space_group_name_Hall '-I 4 2'
_cell_length_a 3.894
_cell_length_b 3.894
_cell_length_c 14.463
_cell_angle_alpha 90.00
_cell_angle_beta 90.00
_cell_angle_gamma 90.00
loop_
_atom_site_label
_atom_site_fract_x
_atom_site_fract_y
_atom_site_fract_z
Tl1 0.000 0.000 0.108
Ag1 0.000 0.000 0.500
Pd1 0.000 0.500 0.250
```

Computed properties:
ρ (Mg/m³): 11.0
Raw total energy (eV/cell): -35.08
Formation enthalpy at 0 K (eV per atom): 0.09
Polymorph energy (0 for the lowest one) (eV per atom): 0.1549
Volume (Å³ per atom): 21.932